Record 1
An optimized crystal structure of YFeP2, computed with PBE.

Cell: 4.5426 4.5426 4.5426 Å, 60.00 60.00 60.00°
With the nearest neighbours (Å) after each atom.
Element x y z (fractional)
Y (0.7500, 0.7500, 0.7500)  4 Fe 2.78, 4 P 2.78
P (0.2500, 0.2500, 0.2500)  4 Fe 2.78, 4 P 2.78
P (0.0000, 0.0000, 0.0000)  4 P 2.78, 4 Y 2.78
Fe (0.5000, 0.5000, 0.5000)  4 Y 2.78, 4 P 2.78

Results
energy above the most stable polymorph in this dataset = 0.8960 eV/atom
energy of formation from the pure elements = 0.0600 eV per atom
SG = F-43m (216)
calculated total energy = -6.377 eV/atom
density = 5.2 g/cm3
size of the total moment = 1.776 Bohr magnetons per cell

=====

Record 2
An optimized crystal structure of Y2FeP, computed with PBE.

Cell: 4.0305 4.0298 5.6662 Å, 90.00 90.00 90.00°
With the nearest neighbours (Å) after each atom.
Element x y z (fractional)
Fe (0.0000, 0.0000, 0.3775)  6 Y 2.83-2.85
Y (0.0000, 0.0000, 0.8780)  2 Fe 2.83-2.84, 4 P 2.85
Y (0.5000, 0.5000, 0.3721)  2 P 2.83, 4 Fe 2.85
P (0.5000, 0.5000, 0.8724)  6 Y 2.83-2.85

Results
energy of formation from the pure elements = -0.3737 eV per atom
SG = P4mm (99)
calculated total energy = -7.074 eV/atom
density = 4.8 g/cm3
size of the total moment = 1.621 Bohr magnetons per cell

=====

Record 3
An optimized crystal structure of YFe4P2, computed with PBE.

Cell: 7.0275 7.0275 3.6278 Å, 90.00 90.00 90.00°
With the nearest neighbours (Å) after each atom.
Element x y z (fractional)
Y (0.0000, 0.0000, 0.5000)  6 P 2.78-2.84, 8 Fe 3.07
Y (0.5000, 0.5000, 0.0000)  6 P 2.78-2.84, 8 Fe 3.07
Fe (0.6573, 0.9176, 0.0000)  3 P 2.29-2.33, 5 Fe 2.50-2.53
Fe (0.1573, 0.5824, 0.5000)  3 P 2.29-2.33, 5 Fe 2.50-2.53
Fe (0.8427, 0.4176, 0.5000)  3 P 2.29-2.33, 5 Fe 2.50-2.53
Fe (0.0824, 0.3427, 0.0000)  3 P 2.29-2.33, 5 Fe 2.50-2.53
Fe (0.5824, 0.1573, 0.5000)  3 P 2.29-2.33, 5 Fe 2.50-2.53
Fe (0.4176, 0.8427, 0.5000)  3 P 2.29-2.33, 5 Fe 2.50-2.53
Fe (0.3427, 0.0824, 0.0000)  3 P 2.29-2.33, 5 Fe 2.50-2.53
Fe (0.9176, 0.6573, 0.0000)  3 P 2.29-2.33, 5 Fe 2.50-2.53
P (0.7200, 0.7200, 0.5000)  6 Fe 2.29-2.33
P (0.2200, 0.7800, 0.0000)  6 Fe 2.29-2.33
P (0.2800, 0.2800, 0.5000)  6 Fe 2.29-2.33
P (0.7800, 0.2200, 0.0000)  6 Fe 2.29-2.33

Results
energy of formation from the pure elements = -0.6825 eV per atom
SG = P4_2/mnm (136)
calculated total energy = -7.987 eV/atom
density = 6.9 g/cm3
size of the total moment = 8.570 Bohr magnetons per cell

=====

Record 4
An optimized crystal structure of Y2FeP, computed with PBE.

Cell: 3.1985 3.1985 7.9313 Å, 90.00 90.00 89.95°
With the nearest neighbours (Å) after each atom.
Element x y z (fractional)
Y (0.0000, 0.0000, 0.9302)  1 Fe 2.86, 4 P 2.99-3.00, 4 Y 3.20
Y (0.5000, 0.5000, 0.3171)  1 P 2.90, 4 Fe 3.02, 4 Y 3.20
Fe (0.0000, 0.0000, 0.5700)  4 P 2.43
P (0.5000, 0.5000, 0.6827)  4 Fe 2.43

Results
energy of formation from the pure elements = -0.2675 eV per atom
SG = P4mm (99)
calculated total energy = -6.968 eV/atom
density = 5.4 g/cm3
size of the total moment = 1.078 Bohr magnetons per cell

=====

Record 5
An optimized crystal structure of YbFe5P3, computed with PBE.

Cell: 3.6365 10.3123 11.8482 Å, 90.00 90.00 90.00°
With the nearest neighbours (Å) after each atom.
Element x y z (fractional)
Fe (0.2500, 0.0378, 0.4332)  4 P 2.16-2.24
Fe (0.7500, 0.1259, 0.2981)  4 P 2.32-2.34, 4 Fe 2.50-2.59
Fe (0.2500, 0.6259, 0.2019)  4 P 2.32-2.34, 4 Fe 2.50-2.59
Fe (0.7500, 0.9622, 0.5668)  4 P 2.16-2.24
Fe (0.2500, 0.7917, 0.4879)  3 P 2.27-2.46
Fe (0.7500, 0.5378, 0.0668)  4 P 2.16-2.24
Fe (0.2500, 0.0940, 0.9928)  4 P 2.25-2.29
Fe (0.7500, 0.2083, 0.5121)  3 P 2.27-2.46
Fe (0.2500, 0.2823, 0.6779)  4 P 2.25-2.36, 2 Fe 2.50
Fe (0.2500, 0.4622, 0.9332)  4 P 2.16-2.24
Fe (0.2500, 0.2177, 0.1779)  4 P 2.25-2.36, 2 Fe 2.50
Fe (0.7500, 0.9060, 0.0072)  4 P 2.25-2.29
Fe (0.7500, 0.2917, 0.0121)  3 P 2.27-2.46
Fe (0.2500, 0.4060, 0.4928)  4 P 2.25-2.29
Fe (0.7500, 0.7177, 0.3221)  4 P 2.25-2.36, 2 Fe 2.50
Fe (0.7500, 0.3741, 0.7981)  4 P 2.32-2.34, 4 Fe 2.50-2.59
Fe (0.7500, 0.7823, 0.8221)  4 P 2.25-2.36, 2 Fe 2.50
Fe (0.7500, 0.5940, 0.5072)  4 P 2.25-2.29
Fe (0.2500, 0.8741, 0.7019)  4 P 2.32-2.34, 4 Fe 2.50-2.59
Fe (0.2500, 0.7083, 0.9879)  3 P 2.27-2.46
Yb (0.2500, 0.5821, 0.7053)  6 P 2.78-2.87, 10 Fe 2.97-3.11
Yb (0.7500, 0.4179, 0.2947)  6 P 2.78-2.87, 10 Fe 2.97-3.11
Yb (0.2500, 0.9179, 0.2053)  6 P 2.78-2.87, 10 Fe 2.97-3.11
Yb (0.7500, 0.0821, 0.7947)  6 P 2.78-2.87, 10 Fe 2.97-3.11
P (0.7500, 0.0986, 0.1039)  7 Fe 2.25-2.36
P (0.2500, 0.9014, 0.8961)  7 Fe 2.25-2.36
P (0.2500, 0.0774, 0.6133)  5 Fe 2.17-2.34
P (0.2500, 0.5986, 0.3961)  7 Fe 2.25-2.36
P (0.2500, 0.4226, 0.1133)  5 Fe 2.17-2.34
P (0.7500, 0.9226, 0.3867)  5 Fe 2.17-2.34
P (0.2500, 0.2360, 0.3740)  5 Fe 2.16-2.33
P (0.7500, 0.4014, 0.6039)  7 Fe 2.25-2.36
P (0.2500, 0.2640, 0.8740)  5 Fe 2.16-2.33
P (0.7500, 0.5774, 0.8867)  5 Fe 2.17-2.34
P (0.7500, 0.7360, 0.1260)  5 Fe 2.16-2.33
P (0.7500, 0.7640, 0.6260)  5 Fe 2.16-2.33

Results
energy of formation from the pure elements = -0.6747 eV per atom
SG = Pnma (62)
calculated total energy = -7.349 eV/atom
density = 8.2 g/cm3
size of the total moment = 8.663 Bohr magnetons per cell

=====

Record 6
An optimized crystal structure of ZnFeP4, computed with PBE.

Cell: 5.0169 5.0169 5.0169 Å, 60.00 60.00 60.00°
With the nearest neighbours (Å) after each atom.
Element x y z (fractional)
P (0.3746, 0.3746, 0.3746)  6 P 2.50-2.52
P (0.8763, 0.3746, 0.3746)  6 P 2.50-2.52
P (0.3746, 0.3746, 0.8763)  6 P 2.50-2.52
P (0.3746, 0.8763, 0.3746)  6 P 2.50-2.52
Fe (0.0000, 0.0000, 0.0000)  12 P 2.94, 4 Zn 3.07
Zn (0.7500, 0.7500, 0.7500)  12 P 2.94, 4 Fe 3.07

Results
energy of formation from the pure elements = 0.6760 eV per atom
SG = F-43m (216)
calculated total energy = -4.553 eV/atom
density = 4.6 g/cm3
size of the total moment = 3.069 Bohr magnetons per cell

=====

Record 7
An optimized crystal structure of Zn2FeP, computed with PBE.

Cell: 7.4384 7.4384 5.7348 Å, 49.57 49.57 90.00°
With the nearest neighbours (Å) after each atom.
Element x y z (fractional)
P (0.2500, 0.7500, 0.5000)  2 Fe 2.29, 4 Zn 2.43
P (0.5000, 0.5000, 0.0000)  2 Fe 2.29, 4 Zn 2.43
Fe (0.0000, 0.0000, 0.0000)  2 P 2.29
Fe (0.7500, 0.2500, 0.5000)  2 P 2.29
Zn (0.5702, 0.1250, 0.2500)  2 Zn 2.43, 2 P 2.43
Zn (0.3750, 0.4298, 0.7500)  2 Zn 2.43, 2 P 2.43
Zn (0.1798, 0.6250, 0.2500)  2 Zn 2.43, 2 P 2.43
Zn (0.8750, 0.8202, 0.7500)  2 Zn 2.43, 2 P 2.43

Results
energy of formation from the pure elements = 0.2595 eV per atom
SG = I-42d (122)
calculated total energy = -3.846 eV/atom
density = 5.7 g/cm3
size of the total moment = 5.445 Bohr magnetons per cell

=====

Record 8
An optimized crystal structure of Zn2FeP, computed with PBE.

Cell: 4.7131 4.7131 4.7131 Å, 133.76 133.76 67.46°
With the nearest neighbours (Å) after each atom.
Element x y z (fractional)
Fe (0.5000, 0.5000, 0.0000)  8 Zn 2.62-2.70, 4 P 2.70
Zn (0.0000, 0.0000, 0.0000)  4 Fe 2.62, 4 P 2.70, 4 Zn 2.70
Zn (0.2500, 0.7500, 0.5000)  4 P 2.62, 4 Fe 2.70, 4 Zn 2.70
P (0.7500, 0.2500, 0.5000)  8 Zn 2.62-2.70, 4 Fe 2.70

Results
energy of formation from the pure elements = 0.1137 eV per atom
SG = I-4m2 (119)
calculated total energy = -3.991 eV/atom
density = 6.7 g/cm3
size of the total moment = 2.348 Bohr magnetons per cell

=====

Record 9
An optimized crystal structure of Zn3FeP, computed with PBE.

Cell: 4.5910 4.5910 4.5910 Å, 90.00 90.00 90.00°
With the nearest neighbours (Å) after each atom.
Element x y z (fractional)
Zn (0.0000, 0.5000, 0.0000)  2 Fe 2.30
Zn (0.5000, 0.0000, 0.0000)  2 Fe 2.30
Zn (0.0000, 0.0000, 0.5000)  2 Fe 2.30
P (0.5000, 0.5000, 0.5000)  12 Zn 3.25
Fe (0.0000, 0.0000, 0.0000)  6 Zn 2.30

Results
energy above the most stable polymorph in this dataset = 0.0249 eV/atom
energy of formation from the pure elements = 0.8470 eV per atom
SG = Pm-3m (221)
calculated total energy = -2.692 eV/atom
density = 4.9 g/cm3
size of the total moment = 2.369 Bohr magnetons per cell

=====

Record 10
An optimized crystal structure of Zn2FeP, computed with PBE.

Cell: 2.9302 2.9299 6.2471 Å, 90.00 90.00 90.00°
With the nearest neighbours (Å) after each atom.
Element x y z (fractional)
Fe (0.0000, 0.0000, 0.5481)  4 P 2.27
Zn (0.0000, 0.0000, 0.9871)  8 Zn 2.72-2.93, 1 Fe 2.74, 4 P 2.76
Zn (0.5000, 0.5000, 0.2684)  1 P 2.67, 4 Fe 2.71, 8 Zn 2.72-2.93
P (0.5000, 0.5000, 0.6963)  4 Fe 2.27

Results
energy of formation from the pure elements = -0.0420 eV per atom
SG = P4mm (99)
calculated total energy = -4.147 eV/atom
density = 6.7 g/cm3
size of the total moment = 1.024 Bohr magnetons per cell